YNbRu3 after structural relaxation. Source: Alexandria via LeMat-Bulk, functional GGA-PBEsol.

Properties
E in eV/cell: -44.04

a = 4.6660 Å, b = 4.6660 Å, c = 4.6660 Å
α = 90.00°, β = 90.00°, γ = 90.00°
Closest atoms and distances in Å follow each position.
Positions (direct):
Y 0.0000 0.0000 0.0000  12 Ru 3.30
Nb 0.5000 0.5000 0.5000  6 Ru 2.33
Ru 0.0000 0.5000 0.5000  2 Nb 2.33
Ru 0.5000 0.0000 0.5000  2 Nb 2.33
Ru 0.5000 0.5000 0.0000  2 Nb 2.33

Y2NbRu2 after structural relaxation. Source: Alexandria via LeMat-Bulk, functional GGA-PBEsol.

Properties
E in eV/cell: -42.60

a = 9.5936 Å, b = 9.5936 Å, c = 9.5936 Å
α = 159.56°, β = 159.56°, γ = 29.06°
Closest atoms and distances in Å follow each position.
Positions (direct):
Y 0.1141 0.1141 0.0000  4 Ru 3.05, 4 Nb 3.21, 4 Y 3.40
Y 0.8859 0.8859 0.0000  4 Ru 3.05, 4 Nb 3.21, 4 Y 3.40
Nb 0.5000 0.5000 0.0000  8 Y 3.21, 4 Nb 3.40
Ru 0.2500 0.7500 0.5000  4 Ru 2.41
Ru 0.7500 0.2500 0.5000  4 Ru 2.41